CaPt4Rh PBE optimized geometry; V = 17.78 Å³/atom; size of the total moment = 1.19 μB/f.u.; SG = No. 216; energy relative to the elements = -0.32 eV per atom
1.0
0.000 3.764 3.764
3.764 0.000 3.764
3.764 3.764 0.000
Ca Pt Rh
1 4 1
Cartesian
0.000 0.000 0.000
4.702 2.826 2.826
2.826 4.702 2.826
2.826 2.826 4.702
4.702 4.702 4.702
1.882 1.882 1.882